1.
Computed, not measured: crystalline NaLaCuRh2 at its relaxed geometry at the PBE level of DFT.

Computed properties:
- Density: 6.3 g/cm³
- ΔH_f (0 K): 40 kJ/mol of atoms
- DOS(E_F): 3.6 states/eV/f.u.

Cell: 4.777 5.015 4.777 Å, 90.00 90.00 90.00°
Sites, in units of the cell vectors:
Na  0.500  0.500  0.500
Rh  0.000  0.000  0.500
Rh  0.500  0.000  0.000
Cu  0.000  0.000  0.000
La  0.000  0.500  0.000



2.
Computed, not measured: crystalline KIrSe2 at its relaxed geometry at the PBE level of DFT.

Computed properties:
- Density: 7.7 g/cm³
- Formation energy without anion corrections: 0.7881 eV/atom
- DOS(E_F): 1.4 states/eV/f.u.

Cell: 4.915 4.915 4.915 Å, 60.00 60.00 60.00°
Sites, in units of the cell vectors:
Ir  0.500  0.500  0.500
K  0.750  0.750  0.750
Se  0.000  0.000  0.000
Se  0.250  0.250  0.250



3.
Computed, not measured: crystalline Y6CoBr10 at its relaxed geometry at the PBE level of DFT.

Computed properties:
- Density: 4.2 g/cm³
- Formation energy without anion corrections: -1.5576 eV/atom
- DOS(E_F): 4.3 states/eV/f.u.

Cell: 7.352 9.070 9.234 Å, 107.54 96.63 104.44°
Site moments in Bohr magnetons follow the coordinates.
Sites, in units of the cell vectors:
Y  0.463  0.783  0.585  0.11
Y  0.537  0.217  0.415  0.11
Y  0.376  0.452  0.744  0.09
Y  0.624  0.548  0.256  0.09
Y  0.854  0.631  0.674  0.08
Y  0.146  0.369  0.326  0.08
Co  0.500  0.500  0.500  -0.07
Br  0.413  0.127  0.673  0.01
Br  0.587  0.873  0.327  0.01
Br  0.046  0.682  0.413  0.00
Br  0.954  0.318  0.587  0.00
Br  0.275  0.752  0.842  0.01
Br  0.725  0.248  0.158  0.01
Br  0.253  0.417  0.044  0.00
Br  0.747  0.583  0.956  0.00
Br  0.836  0.948  0.772  0.01
Br  0.164  0.052  0.228  0.01



4.
Computed, not measured: crystalline TlCd3Ag at its relaxed geometry at the PBE level of DFT.

Computed properties:
- ΔE to the lowest computed polymorph: 43 meV per atom
- Density: 8.4 g/cm³
- ΔH_f (0 K): 7 kJ/mol of atoms
- DOS(E_F): 2.0 states/eV/f.u.

Cell: 5.837 7.141 7.141 Å, 120.00 90.00 90.00°
Sites, in units of the cell vectors:
Tl  0.750  0.667  0.333
Tl  0.250  0.333  0.667
Cd  0.750  0.611  0.805
Cd  0.250  0.805  0.611
Cd  0.250  0.389  0.195
Cd  0.750  0.195  0.389
Cd  0.250  0.805  0.195
Cd  0.750  0.195  0.805
Ag  0.000  0.000  0.000
Ag  0.500  0.000  0.000



5.
Computed, not measured: crystalline Tb3Nd2Sc at its relaxed geometry at the PBE level of DFT.

Computed properties:
- ΔE to the lowest computed polymorph: 229 meV per atom
- Density: 6.9 g/cm³
- ΔH_f (0 K): 26 kJ/mol of atoms
- DOS(E_F): 9.0 states/eV/f.u.

Cell: 3.350 6.666 17.342 Å, 90.00 90.00 90.00°
Sites, in units of the cell vectors:
Tb  0.000  0.000  0.000
Tb  0.500  0.500  0.500
Tb  0.500  0.755  0.826
Tb  0.500  0.245  0.174
Tb  0.000  0.255  0.674
Tb  0.000  0.745  0.326
Nd  0.500  0.749  0.150
Nd  0.000  0.249  0.350
Nd  0.000  0.751  0.650
Nd  0.500  0.251  0.850
Sc  0.000  0.000  0.500
Sc  0.500  0.500  0.000



6.
Computed, not measured: crystalline LiSi6Bi9O26 at its relaxed geometry at the PBE level of DFT.

Computed properties:
- ΔE to the lowest computed polymorph: 0 meV per atom
- Density: 7.1 g/cm³
- Formation energy without anion corrections: -1.9553 eV/atom
- DOS(E_F): 0.0 states/eV/f.u.

Cell: 9.750 9.750 14.108 Å, 90.00 90.00 120.00°
Sites, in units of the cell vectors:
Li  0.667  0.333  0.753
Li  0.333  0.667  0.247
Si  0.971  0.595  0.629
Si  0.979  0.599  0.128
Si  0.401  0.379  0.128
Si  0.405  0.376  0.629
Si  0.621  0.021  0.128
Si  0.624  0.029  0.629
Si  0.376  0.971  0.371
Si  0.379  0.979  0.872
Si  0.595  0.624  0.371
Si  0.599  0.621  0.872
Si  0.029  0.405  0.371
Si  0.021  0.401  0.872
Bi  0.017  0.775  0.373
Bi  0.017  0.774  0.874
Bi  0.667  0.333  0.260
Bi  0.667  0.333  0.979
Bi  0.667  0.333  0.518
Bi  0.757  0.983  0.373
Bi  0.757  0.983  0.874
Bi  0.775  0.757  0.627
Bi  0.774  0.757  0.126
Bi  0.225  0.243  0.373
Bi  0.226  0.243  0.874
Bi  0.243  0.017  0.126
Bi  0.243  0.017  0.627
Bi  0.333  0.667  0.021
Bi  0.333  0.667  0.482
Bi  0.333  0.667  0.740
Bi  0.983  0.226  0.126
Bi  0.983  0.225  0.627
O  0.933  0.692  0.713
O  0.921  0.673  0.216
O  0.909  0.650  0.035
O  0.899  0.642  0.535
O  0.864  0.401  0.639
O  0.881  0.405  0.138
O  0.655  0.496  0.377
O  0.674  0.504  0.872
O  0.830  0.326  0.872
O  0.841  0.345  0.377
O  0.599  0.463  0.639
O  0.595  0.475  0.138
O  0.000  0.000  0.124
O  0.000  0.000  0.381
O  0.000  0.000  0.619
O  0.000  0.000  0.876
O  0.743  0.101  0.535
O  0.752  0.079  0.216
O  0.741  0.091  0.035
O  0.759  0.067  0.713
O  0.504  0.159  0.377
O  0.496  0.170  0.872
O  0.537  0.136  0.639
O  0.525  0.119  0.138
O  0.358  0.257  0.535
O  0.350  0.259  0.035
O  0.327  0.248  0.216
O  0.308  0.241  0.713
O  0.642  0.743  0.465
O  0.692  0.759  0.287
O  0.650  0.741  0.965
O  0.673  0.752  0.784
O  0.463  0.864  0.361
O  0.475  0.881  0.862
O  0.504  0.830  0.128
O  0.496  0.841  0.623
O  0.259  0.909  0.965
O  0.248  0.921  0.784
O  0.257  0.899  0.465
O  0.241  0.933  0.287
O  0.401  0.537  0.361
O  0.405  0.525  0.862
O  0.170  0.674  0.128
O  0.159  0.655  0.623
O  0.326  0.496  0.128
O  0.345  0.504  0.623
O  0.136  0.599  0.361
O  0.119  0.595  0.862
O  0.091  0.350  0.965
O  0.101  0.358  0.465
O  0.067  0.308  0.287
O  0.079  0.327  0.784



7.
Computed, not measured: crystalline CoIrSe2 at its relaxed geometry at the PBE level of DFT.

Computed properties:
- ΔE to the lowest computed polymorph: 369 meV per atom
- Density: 10.5 g/cm³
- Formation energy without anion corrections: 0.2738 eV/atom
- DOS(E_F): 4.5 states/eV/f.u.

Cell: 3.959 3.959 5.899 Å, 76.09 76.09 46.64°
Site moments in Bohr magnetons follow the coordinates.
Sites, in units of the cell vectors:
Co  0.750  0.750  0.750  1.53
Ir  0.250  0.250  0.250  0.07
Se  0.020  0.020  0.995  0.04
Se  0.480  0.480  0.505  0.04



8.
Computed, not measured: crystalline La4HgGe at its relaxed geometry at the PBE level of DFT.

Computed properties:
- ΔE to the lowest computed polymorph: 0 meV per atom
- Density: 7.3 g/cm³
- ΔH_f (0 K): -43 kJ/mol of atoms
- DOS(E_F): 7.4 states/eV/f.u.

Cell: 6.247 6.917 10.164 Å, 90.00 120.57 90.00°
Sites, in units of the cell vectors:
La  0.601  0.250  0.451
La  0.399  0.750  0.549
La  0.713  0.250  0.844
La  0.287  0.750  0.156
La  0.861  0.013  0.231
La  0.139  0.513  0.769
La  0.861  0.487  0.231
La  0.139  0.987  0.769
Hg  0.302  0.250  0.086
Hg  0.698  0.750  0.914
Ge  0.197  0.250  0.536
Ge  0.803  0.750  0.464